Record 1
First-principles (PBE-GGA) data for a geometry-optimized MgIrNF2 structure, as listed in the Alexandria database.

a b c (Å): 4.487 4.487 3.693
angles (deg): 90.00 90.00 90.00
Element x y z (fractional)
N: 0.000 0.000 0.500
Mg: 0.500 0.500 0.500
Ir: 0.000 0.000 0.000
F: 0.000 0.500 0.000
F: 0.500 0.000 0.000

Computed properties:
The formation energy (no corrections) comes out at -0.5306 eV/atom. The symmetry is No. 123. As for the relative energy among the computed polymorphs: 0 meV per atom. The total magnetic moment comes out at 0.000 μB per atom.

Record 2
First-principles (PBE-GGA) data for a geometry-optimized MgIrNF2 structure, as listed in the Alexandria database.

a b c (Å): 3.508 3.508 5.362
angles (deg): 90.00 90.00 90.00
Element x y z (fractional)
N: 0.000 0.000 0.500
Mg: 0.000 0.000 0.000
Ir: 0.500 0.500 0.500
F: 0.000 0.500 0.000
F: 0.500 0.000 0.000

Computed properties:
The formation energy (no corrections) comes out at -0.4906 eV/atom. The symmetry is No. 123. As for the relative energy among the computed polymorphs: 40 meV per atom. The total magnetic moment comes out at 0.523 μB per atom.

Record 3
First-principles (PBE-GGA) data for a geometry-optimized MgIrN2F structure, as listed in the Alexandria database.

a b c (Å): 4.049 4.049 3.493
angles (deg): 90.00 90.00 90.00
Element x y z (fractional)
N: 0.000 0.500 0.000
N: 0.500 0.000 0.000
Mg: 0.000 0.000 0.000
Ir: 0.500 0.500 0.500
F: 0.000 0.000 0.500

Computed properties:
The formation energy (no corrections) comes out at 0.9979 eV/atom. The symmetry is No. 123. As for the relative energy among the computed polymorphs: 970 meV per atom. The total magnetic moment comes out at 0.139 μB per atom.

Record 4
First-principles (PBE-GGA) data for a geometry-optimized MgIrN2F structure, as listed in the Alexandria database.

a b c (Å): 3.704 3.704 5.670
angles (deg): 90.00 90.00 90.00
Element x y z (fractional)
N: 0.000 0.500 0.000
N: 0.500 0.000 0.000
Mg: 0.500 0.500 0.500
Ir: 0.000 0.000 0.000
F: 0.000 0.000 0.500

Computed properties:
The formation energy (no corrections) comes out at 0.0281 eV/atom. The symmetry is No. 123. As for the relative energy among the computed polymorphs: 0 meV per atom. The total magnetic moment comes out at 0.000 μB per atom.

Record 5
First-principles (PBE-GGA) data for a geometry-optimized MgSbIrF2 structure, as listed in the Alexandria database.

a b c (Å): 3.746 6.372 3.746
angles (deg): 90.00 90.00 90.00
Element x y z (fractional)
Sb: 0.500 0.500 0.500
Mg: 0.000 0.000 0.000
Ir: 0.000 0.500 0.000
F: 0.000 0.000 0.500
F: 0.500 0.000 0.000

Computed properties:
The formation energy (no corrections) comes out at -1.5723 eV/atom. The symmetry is No. 123. The total magnetic moment comes out at 0.000 μB per atom.

Record 6
First-principles (PBE-GGA) data for a geometry-optimized MgSnIrF2 structure, as listed in the Alexandria database.

a b c (Å): 4.248 5.344 4.248
angles (deg): 90.00 90.00 90.00
Element x y z (fractional)
Mg: 0.500 0.500 0.500
Ir: 0.000 0.000 0.000
Sn: 0.000 0.500 0.000
F: 0.000 0.000 0.500
F: 0.500 0.000 0.000

Computed properties:
The formation energy (no corrections) comes out at -0.4969 eV/atom. The symmetry is No. 123. The total magnetic moment comes out at 0.000 μB per atom.

Record 7
First-principles (PBE-GGA) data for a geometry-optimized MgTc2IrF structure, as listed in the Alexandria database.

a b c (Å): 4.032 4.725 4.032
angles (deg): 90.00 90.00 90.00
Element x y z (fractional)
Mg: 0.500 0.500 0.500
Ir: 0.000 0.500 0.000
Tc: 0.000 0.000 0.500
Tc: 0.500 0.000 0.000
F: 0.000 0.000 0.000

Computed properties:
The formation energy (no corrections) comes out at 0.7564 eV/atom. The symmetry is No. 123. The total magnetic moment comes out at 0.148 μB per atom.

- What is the formula in the fourth record?
  MgIrN2F

- Among the records above, which one has the lowest formation energy (no corrections)?
  MgSbIrF2